# Hg3TeP, relaxed, DFT PBE
# Polymorph energy (0 for the lowest one) (eV/atom): 0.000
# E_form (uncorrected) (meV per atom): 216
# Spin magnetization (μB per cell): 0.0
# DFT total energy (eV per cell): -8.38
data_Hg3TeP
_space_group_name_H-M_alt 'P m -3 m'
_space_group_IT_number 221
_space_group_name_Hall '-P 4 2 3'
_cell_length_a 5.1515
_cell_length_b 5.1515
_cell_length_c 5.1515
_cell_angle_alpha 90.00
_cell_angle_beta 90.00
_cell_angle_gamma 90.00
loop_
_atom_site_label
_atom_site_fract_x
_atom_site_fract_y
_atom_site_fract_z
Hg1 0.0000 0.0000 0.5000
Te1 0.5000 0.5000 0.5000
P1 0.0000 0.0000 0.0000